The following is a PBE calculation of a relaxed structure of In2Ga3Hg8, from Alexandria via LeMat-Bulk.

Values from the calculation:
As for the formation energy: 0.0466 eV per atom. The space-group type is P-1. Its density is 10.0 g cm⁻³.

Lattice parameters (Å, degrees): 4.6306 8.7234 9.0215 68.75 89.93 89.94
Fractional positions:
1 In 0.9999 0.1667 0.0297
2 In 0.0001 0.8333 0.9703
3 Ga 0.0000 0.5000 0.5000
4 Ga 0.5003 0.3377 0.4517
5 Ga 0.4997 0.6623 0.5483
6 Hg 0.0001 0.1345 0.6418
7 Hg 0.0002 0.4261 0.1880
8 Hg 0.9998 0.5739 0.8120
9 Hg 0.9999 0.8655 0.3582
10 Hg 0.4996 0.1166 0.2856
11 Hg 0.5001 0.3148 0.8142
12 Hg 0.4999 0.6852 0.1858
13 Hg 0.5004 0.8834 0.7144


The following is a PBE calculation of a relaxed structure of Nd14SmIn, from Alexandria via LeMat-Bulk.

Values from the calculation:
As for the formation energy: -0.0394 eV per atom. The space-group type is P4/mmm. Its density is 7.0 g cm⁻³.

Lattice parameters (Å, degrees): 7.2692 7.2692 10.3068 90.00 90.00 90.00
Fractional positions:
1 Nd 0.0000 0.0000 0.0000
2 Nd 0.0000 0.5000 0.0000
3 Nd 0.0000 0.5000 0.5000
4 Nd 0.2473 0.2473 0.2549
5 Nd 0.2473 0.2473 0.7451
6 Nd 0.2473 0.7527 0.2549
7 Nd 0.2473 0.7527 0.7451
8 Nd 0.5000 0.0000 0.0000
9 Nd 0.5000 0.0000 0.5000
10 Nd 0.5000 0.5000 0.0000
11 Nd 0.7527 0.2473 0.2549
12 Nd 0.7527 0.2473 0.7451
13 Nd 0.7527 0.7527 0.2549
14 Nd 0.7527 0.7527 0.7451
15 Sm 0.5000 0.5000 0.5000
16 In 0.0000 0.0000 0.5000


The following is a PBE calculation of a relaxed structure of Nd8GaGe5, from Alexandria via LeMat-Bulk.

Values from the calculation:
As for the formation energy: -0.7434 eV per atom. The space-group type is I-4. Its density is 6.8 g cm⁻³.

Lattice parameters (Å, degrees): 7.9535 7.9535 7.9535 109.50 109.50 109.41
Fractional positions:
1 Nd 0.0069 0.6222 0.7455
2 Nd 0.2426 0.4970 0.1172
3 Nd 0.3778 0.1233 0.3847
4 Nd 0.3798 0.1254 0.8828
5 Nd 0.5030 0.6202 0.7456
6 Nd 0.7386 0.9931 0.6153
7 Nd 0.8746 0.7574 0.2544
8 Nd 0.8767 0.2614 0.2545
9 Ga 0.0000 0.0000 0.0000
10 Ge 0.1247 0.2475 0.6258
11 Ge 0.2500 0.7500 0.5000
12 Ge 0.5011 0.8753 0.1228
13 Ge 0.6217 0.4989 0.3742
14 Ge 0.7525 0.3783 0.8772